1.
Al2Ag | PBEsol | relaxed

For the formation energy, the calculation gives -0.07 eV/atom.

The structure belongs to space group P-3m1 (No. 164); the cell edges are 2.9380, 2.9380 and 6.5174 Å and the angles 90.00°, 90.00° and 120.00°. Symmetry generates all atoms from Al at (0.3333, 0.6667, 0.3303) and Ag at (0.0000, 0.0000, 0.0000).

2.
YCr2Co | PBEsol | relaxed

Its energy above the most stable polymorph in this dataset is 191 meV per atom. For the formation energy, the calculation gives 0.73 eV/atom.

The structure belongs to space group Fm-3m (No. 225); the cell edges are 6.024, 6.024 and 6.024 Å and the angles 90.00°, 90.00° and 90.00°. Symmetry generates all atoms from Y at (0.000, 0.000, 0.000), Cr at (0.250, 0.250, 0.250) and Co at (0.000, 0.000, 0.500).

3.
BaNi2Ir | PBEsol | relaxed

Its energy above the most stable polymorph in this dataset is 419 meV per atom. For the formation energy, the calculation gives 0.37 eV/atom.

The structure belongs to space group Pmmm (No. 47); the cell edges are 2.959, 3.365 and 6.997 Å and the angles 90.00°, 90.00° and 90.00°. Symmetry generates all atoms from Ba at (0.000, 0.000, 0.000), Ni at (0.500, 0.500, 0.333) and Ir at (0.000, 0.000, 0.500).

4.
ZrCu2Au2 | PBEsol | relaxed

For the formation energy, the calculation gives -0.15 eV/atom.

The structure belongs to space group I4/mmm (No. 139); the cell edges are 3.558, 3.558 and 13.100 Å and the angles 90.00°, 90.00° and 90.00°. Symmetry generates all atoms from Zr at (0.000, 0.000, 0.000), Cu at (0.000, 0.500, 0.250) and Au at (0.000, 0.000, 0.394).

5.
SrOsAu2 | PBEsol | relaxed

Its energy above the most stable polymorph in this dataset is 0 meV per atom. For the formation energy, the calculation gives 0.34 eV/atom.

The structure belongs to space group Cmmm (No. 65); the cell edges are 6.795, 6.886 and 3.207 Å and the angles 90.00°, 90.00° and 90.00°. Symmetry generates all atoms from Sr at (0.000, 0.000, 0.000), Os at (0.000, 0.500, 0.000) and Au at (0.250, 0.250, 0.500).

6.
Ba2SrCd | PBEsol | relaxed

For the formation energy, the calculation gives -0.06 eV/atom.

The structure belongs to space group Amm2 (No. 38); the cell edges are 4.755, 4.738 and 16.974 Å and the angles 90.00°, 90.00° and 90.00°. Symmetry generates all atoms from Ba at (0.000, 0.000, 0.000), Ba at (0.500, 0.000, 0.353), Sr at (0.000, 0.000, 0.706) and Cd at (0.500, 0.000, 0.565).